# Re2IrRu (PBE, relaxed)
# Formation energy   -0.136 eV/atom
# N(E_F)   0.6652 states/eV/atom
data_Re2IrRu
_chemical_formula_sum 'Re4 Ir2 Ru2'
_cell_length_a 2.7466
_cell_length_b 5.2004
_cell_length_c 8.5436
_cell_angle_alpha 85.11
_cell_angle_beta 80.77
_cell_angle_gamma 74.72
_symmetry_space_group_name_H-M 'P -1'
_symmetry_Int_Tables_number 2
loop_
_symmetry_equiv_pos_as_xyz
'x,y,z'
'-x,-y,-z'
loop_
_atom_site_label
_atom_site_fract_x
_atom_site_fract_y
_atom_site_fract_z
_atom_site_occupancy
Re1 0.1231 0.4820 0.2713 1
Re2 0.1250 0.9813 0.7675 1
Ir1 0.3778 0.2679 0.9755 1
Ru1 0.3755 0.7699 0.4786 1

# BaNa4Ir3O12 (PBE, relaxed)
# Energy relative to the elements, uncorrected   -1.00 eV per atom
# N(E_F)   0.7303 states/eV/atom
data_BaNa4Ir3O12
_chemical_formula_sum 'Ba2 Na8 Ir6 O24'
_cell_length_a 8.3489
_cell_length_b 8.3489
_cell_length_c 8.3489
_cell_angle_alpha 90.00
_cell_angle_beta 90.00
_cell_angle_gamma 90.00
_symmetry_space_group_name_H-M 'I m -3'
_symmetry_Int_Tables_number 204
_symmetry_space_group_name_Hall '-I 2 2 3'
loop_
_atom_site_label
_atom_site_fract_x
_atom_site_fract_y
_atom_site_fract_z
_atom_site_occupancy
Ba1 0.0000 0.0000 0.0000 1
Na1 0.2500 0.2500 0.2500 1
Ir1 0.0000 0.0000 0.5000 1
O1 0.0000 0.3404 0.1514 1

# ErTmPd2 (PBE, relaxed)
# Formation energy   -0.949 eV/atom
# N(E_F)   0.8544 states/eV/atom
data_ErTmPd2
_chemical_formula_sum 'Er2 Tm2 Pd4'
_cell_length_a 4.4928
_cell_length_b 3.7042
_cell_length_c 10.4705
_cell_angle_alpha 90.00
_cell_angle_beta 90.00
_cell_angle_gamma 90.00
_symmetry_space_group_name_H-M 'A m m 2'
_symmetry_Int_Tables_number 38
loop_
_symmetry_equiv_pos_as_xyz
'x,y,z'
'-x,-y,z'
'-x,y,z'
'x,-y,z'
'x,y+1/2,z+1/2'
'-x,-y+1/2,z+1/2'
'-x,y+1/2,z+1/2'
'x,-y+1/2,z+1/2'
loop_
_atom_site_label
_atom_site_fract_x
_atom_site_fract_y
_atom_site_fract_z
_atom_site_occupancy
Er1 0.0000 0.0000 0.0000 1
Tm1 0.5000 0.0000 0.2757 1
Pd1 0.0000 0.0000 0.7251 1
Pd2 0.5000 0.0000 0.5513 1

# Li2MoPN4 (PBE, relaxed)
# Energy relative to the elements, uncorrected   -0.54 eV per atom
# N(E_F)   0.1441 states/eV/atom
data_Li2MoPN4
_chemical_formula_sum 'Li4 Mo2 P2 N8'
_cell_length_a 4.6385
_cell_length_b 4.6385
_cell_length_c 8.4715
_cell_angle_alpha 90.00
_cell_angle_beta 90.00
_cell_angle_gamma 90.00
_symmetry_space_group_name_H-M 'I -4'
_symmetry_Int_Tables_number 82
loop_
_symmetry_equiv_pos_as_xyz
'x,y,z'
'y,-x,-z'
'-x,-y,z'
'-y,x,-z'
'x+1/2,y+1/2,z+1/2'
'y+1/2,-x+1/2,-z+1/2'
'-x+1/2,-y+1/2,z+1/2'
'-y+1/2,x+1/2,-z+1/2'
loop_
_atom_site_label
_atom_site_fract_x
_atom_site_fract_y
_atom_site_fract_z
_atom_site_occupancy
Li1 0.0000 0.0000 0.0000 1
Li2 0.0000 0.5000 0.2500 1
Mo1 0.0000 0.5000 0.7500 1
P1 0.0000 0.0000 0.5000 1
N1 0.1867 0.7727 0.6127 1

# Na3CeU2Te6 (PBE, relaxed)
# Energy relative to the elements, uncorrected   -0.93 eV per atom
# N(E_F)   1.6185 states/eV/atom
data_Na3CeU2Te6
_chemical_formula_sum 'Na6 Ce2 U4 Te12'
_cell_length_a 7.7319
_cell_length_b 13.3947
_cell_length_c 8.0257
_cell_angle_alpha 90.00
_cell_angle_beta 108.74
_cell_angle_gamma 90.00
_symmetry_space_group_name_H-M 'C 1 2/m 1'
_symmetry_Int_Tables_number 12
loop_
_symmetry_equiv_pos_as_xyz
'x,y,z'
'-x,-y,-z'
'-x,y,-z'
'x,-y,z'
'x+1/2,y+1/2,z'
'-x+1/2,-y+1/2,-z'
'-x+1/2,y+1/2,-z'
'x+1/2,-y+1/2,z'
loop_
_atom_site_label
_atom_site_fract_x
_atom_site_fract_y
_atom_site_fract_z
_atom_site_occupancy
Na1 0.0000 0.0000 0.0000 1
Na2 0.0000 0.3353 0.0000 1
Ce1 0.0000 0.5000 0.5000 1
U1 0.0000 0.1669 0.5000 1
Te1 0.2401 0.0000 0.7379 1
Te2 0.2491 0.3304 0.7380 1

# Sm6As3SeS2 (PBE, relaxed)
# Energy relative to the elements, uncorrected   -1.78 eV per atom
# N(E_F)   0.3530 states/eV/atom
data_Sm6As3SeS2
_chemical_formula_sum 'Sm12 As6 Se2 S4'
_cell_length_a 18.0697
_cell_length_b 4.1527
_cell_length_c 8.2760
_cell_angle_alpha 90.00
_cell_angle_beta 103.11
_cell_angle_gamma 90.00
_symmetry_space_group_name_H-M 'C 1 2/m 1'
_symmetry_Int_Tables_number 12
loop_
_symmetry_equiv_pos_as_xyz
'x,y,z'
'-x,-y,-z'
'-x,y,-z'
'x,-y,z'
'x+1/2,y+1/2,z'
'-x+1/2,-y+1/2,-z'
'-x+1/2,y+1/2,-z'
'x+1/2,-y+1/2,z'
loop_
_atom_site_label
_atom_site_fract_x
_atom_site_fract_y
_atom_site_fract_z
_atom_site_occupancy
Sm1 0.0011 0.0000 0.2574 1
Sm2 0.1675 0.5000 0.5827 1
Sm3 0.1698 0.5000 0.0859 1
As1 0.0000 0.5000 0.5000 1
As2 0.1654 0.0000 0.8327 1
Se1 0.0000 0.5000 0.0000 1
S1 0.1672 0.0000 0.3336 1

Question: What is the formula in the first record?
Answer: Re2IrRu

Question: N(E_F) of number 6 (Sm6As3SeS2)?
Answer: 0.3530 states/eV/atom

Please write out number 2 again, unchanged.
# BaNa4Ir3O12 (PBE, relaxed)
# Energy relative to the elements, uncorrected   -1.00 eV per atom
# N(E_F)   0.7303 states/eV/atom
data_BaNa4Ir3O12
_chemical_formula_sum 'Ba2 Na8 Ir6 O24'
_cell_length_a 8.3489
_cell_length_b 8.3489
_cell_length_c 8.3489
_cell_angle_alpha 90.00
_cell_angle_beta 90.00
_cell_angle_gamma 90.00
_symmetry_space_group_name_H-M 'I m -3'
_symmetry_Int_Tables_number 204
_symmetry_space_group_name_Hall '-I 2 2 3'
loop_
_atom_site_label
_atom_site_fract_x
_atom_site_fract_y
_atom_site_fract_z
_atom_site_occupancy
Ba1 0.0000 0.0000 0.0000 1
Na1 0.2500 0.2500 0.2500 1
Ir1 0.0000 0.0000 0.5000 1
O1 0.0000 0.3404 0.1514 1